(1)
Below is a crystal of MgSc3Ru relaxed with PBEsol, with properties calculated at the meta-GGA SCAN level.

The calculation puts the density of states at the Fermi level at 2.82 states/eV per cell. For the formation enthalpy at 0 K, the calculation gives -154.9 meV per atom. The value obtained for the total energy is -16.657 eV per atom.

a b c (Å): 4.9640 4.9640 4.9640
angles (deg): 90.00 90.00 90.00
Last column: nearest neighbours and their distance in Å.
Atoms (fractional coordinates):
Sc 0.0000 0.5000 0.0000  2 Ru 2.48
Sc 0.0000 0.0000 0.5000  2 Ru 2.48
Sc 0.5000 0.0000 0.0000  2 Ru 2.48
Ru 0.0000 0.0000 0.0000  6 Sc 2.48
Mg 0.5000 0.5000 0.5000  12 Sc 3.51

=====

(2)
Below is a crystal of CdHg2Ru relaxed with PBEsol, with properties calculated at the meta-GGA SCAN level.

The calculation puts the density of states at the Fermi level at 2.55 states/eV per cell. For the formation enthalpy at 0 K, the calculation gives 343.1 meV per atom. The value obtained for the total energy is -50.050 eV per atom.

a b c (Å): 2.9153 4.5678 6.7759
angles (deg): 109.70 102.42 90.00
Last column: nearest neighbours and their distance in Å.
Atoms (fractional coordinates):
Cd 0.0000 0.5000 0.0000  4 Ru 2.71, 2 Cd 2.92
Hg 0.8129 0.8129 0.6258  2 Ru 2.74, 2 Hg 2.92
Hg 0.1871 0.1871 0.3742  2 Ru 2.74, 2 Hg 2.92
Ru 0.5000 0.0000 0.0000  4 Cd 2.71, 4 Hg 2.74, 2 Ru 2.92

=====

(3)
Below is a crystal of Mn2RuBr2 relaxed with PBEsol, with properties calculated at the meta-GGA SCAN level.

Its uncorrected formation energy is 1.39 eV per atom. The calculation puts the density of states at the Fermi level at 4.92 states/eV per cell. The value obtained for the total energy is -20.661 eV per atom.

a b c (Å): 3.8846 3.8846 5.8223
angles (deg): 109.49 109.49 90.00
Last column: nearest neighbours and their distance in Å.
Atoms (fractional coordinates):
Br 0.6334 0.6334 0.2668  4 Mn 2.28
Br 0.3666 0.3666 0.7332  4 Mn 2.28
Mn 0.2500 0.7500 0.5000  4 Br 2.28
Mn 0.7500 0.2500 0.5000  4 Br 2.28
Ru 0.0000 0.0000 0.0000  8 Br 3.07, 8 Mn 3.22

=====

(4)
Below is a crystal of PBr2O relaxed with PBEsol, with properties calculated at the meta-GGA SCAN level.

Its uncorrected formation energy is 0.99 eV per atom. The offset from the most stable computed form is 0.168 eV/atom. The calculation puts the density of states at the Fermi level at 2.40 states/eV per cell. The value obtained for the total energy is -12.894 eV per atom.

a b c (Å): 4.5076 4.5076 4.5076
angles (deg): 60.00 60.00 60.00
Last column: nearest neighbours and their distance in Å.
Atoms (fractional coordinates):
P 0.5000 0.5000 0.5000  8 Br 2.76
O 0.0000 0.0000 0.0000  8 Br 2.76
Br 0.2500 0.2500 0.2500  4 O 2.76, 4 P 2.76
Br 0.7500 0.7500 0.7500  4 P 2.76, 4 O 2.76

=====

(5)
Below is a crystal of AlAgB2Mo relaxed with PBEsol, with properties calculated at the meta-GGA SCAN level.

The calculation puts the density of states at the Fermi level at 1.97 states/eV per cell. For the formation enthalpy at 0 K, the calculation gives 1200.0 meV per atom. The value obtained for the total energy is -16.573 eV per atom.

a b c (Å): 4.1536 4.1536 4.7291
angles (deg): 90.00 90.00 90.00
Last column: nearest neighbours and their distance in Å.
Atoms (fractional coordinates):
Mo 0.0000 0.0000 0.0000  4 B 2.08
B 0.0000 0.5000 0.0000  2 Mo 2.08
B 0.5000 0.0000 0.0000  2 Mo 2.08
Al 0.0000 0.0000 0.5000  2 Mo 2.36
Ag 0.5000 0.5000 0.5000  4 Al 2.94, 8 B 3.15

=====

(6)
Below is a crystal of LaSbRh relaxed with PBEsol, with properties calculated at the meta-GGA SCAN level.

Its uncorrected formation energy is -1.10 eV per atom. The calculation puts the density of states at the Fermi level at 2.27 states/eV per cell. The value obtained for the total energy is -39.149 eV per atom.

a b c (Å): 4.1155 4.4996 4.4996
angles (deg): 120.00 90.00 90.00
Last column: nearest neighbours and their distance in Å.
Atoms (fractional coordinates):
Sb 0.0000 0.6667 0.3333  3 Rh 2.60
Rh 0.0000 0.3333 0.6667  3 Sb 2.60
La 0.5000 0.0000 0.0000  6 Sb 3.31, 6 Rh 3.31

=====

(7)
Below is a crystal of Ag2POs relaxed with PBEsol, with properties calculated at the meta-GGA SCAN level.

The calculation puts the density of states at the Fermi level at 3.07 states/eV per cell. For the formation enthalpy at 0 K, the calculation gives 742.8 meV per atom. The value obtained for the total energy is -35.510 eV per atom.

a b c (Å): 3.6210 3.6210 5.2930
angles (deg): 110.00 110.00 90.00
Last column: nearest neighbours and their distance in Å.
Atoms (fractional coordinates):
Ag 0.7500 0.2500 0.5000  4 Ag 2.56
Ag 0.2500 0.7500 0.5000  4 Ag 2.56
Os 0.5000 0.5000 0.0000  4 P 2.56
P 0.0000 0.0000 0.0000  4 Os 2.56

=====

(8)
Below is a crystal of BaCu2Ru relaxed with PBEsol, with properties calculated at the meta-GGA SCAN level.

The offset from the most stable computed form is 0.000 eV/atom. The calculation puts the density of states at the Fermi level at 1.63 states/eV per cell. For the formation enthalpy at 0 K, the calculation gives 205.9 meV per atom. The value obtained for the total energy is -25.988 eV per atom.

a b c (Å): 4.2275 4.2275 5.9623
angles (deg): 69.24 69.24 60.00
Last column: nearest neighbours and their distance in Å.
Atoms (fractional coordinates):
Ba 0.5000 0.5000 0.5000  8 Cu 3.06-3.41
Cu 0.6874 0.6874 0.9378  3 Ru 2.46, 3 Cu 2.53
Cu 0.3126 0.3126 0.0622  3 Ru 2.46, 3 Cu 2.53
Ru 0.0000 0.0000 0.0000  6 Cu 2.46

=====

What did the eighth record say?
Below is a crystal of BaCu2Ru relaxed with PBEsol, with properties calculated at the meta-GGA SCAN level.

The offset from the most stable computed form is 0.000 eV/atom. The calculation puts the density of states at the Fermi level at 1.63 states/eV per cell. For the formation enthalpy at 0 K, the calculation gives 205.9 meV per atom. The value obtained for the total energy is -25.988 eV per atom.

a b c (Å): 4.2275 4.2275 5.9623
angles (deg): 69.24 69.24 60.00
Last column: nearest neighbours and their distance in Å.
Atoms (fractional coordinates):
Ba 0.5000 0.5000 0.5000  8 Cu 3.06-3.41
Cu 0.6874 0.6874 0.9378  3 Ru 2.46, 3 Cu 2.53
Cu 0.3126 0.3126 0.0622  3 Ru 2.46, 3 Cu 2.53
Ru 0.0000 0.0000 0.0000  6 Cu 2.46